## Ba3PmMo2O9 (PBE+U)

Data for crystalline Ba3PmMo2O9 at its relaxed geometry.

Structure (POSCAR):
```
Ba3PmMo2O9
1.0
6.028 0.000 0.000
-3.014 5.220 0.000
0.000 0.000 7.371
Ba Pm Mo O
3 1 2 9
Direct
0.000 0.000 0.000 Ba
0.333 0.667 0.678 Ba
0.667 0.333 0.322 Ba
0.000 0.000 0.500 Pm
0.333 0.667 0.159 Mo
0.667 0.333 0.841 Mo
0.000 0.500 0.000 O
0.176 0.352 0.312 O
0.176 0.824 0.312 O
0.352 0.176 0.688 O
0.500 0.000 0.000 O
0.500 0.500 0.000 O
0.648 0.824 0.312 O
0.824 0.176 0.688 O
0.824 0.648 0.688 O
```

Output
- V (A^3/atom) = 15.5
- density of states at the Fermi level (states/eV/f.u.) = 2.7
- space-group type = P-3m1 (164)
- E (eV for the cell shown) = -106.57